Here is an optimized crystal structure of K2NiSO6 from Alexandria. Energies are from PBE+U.

## Properties
energy	-4.962	eV per atom
spin magnetization	0.0	μB per formula unit

POSCAR file:
```
K2NiSO6
1.0
5.8381 0.0000 0.0000
-2.9191 5.0560 0.0000
0.0000 0.0000 4.7424
K Ni S O
2 1 1 6
Cartesian
0.0000 3.3706 1.1152 K
2.9191 1.6853 3.6272 K
0.0000 0.0000 2.3712 Ni
0.0000 0.0000 0.0000 S
0.0000 1.3296 3.7072 O
-1.7676 4.3912 3.7072 O
1.1515 0.6648 1.0352 O
1.7676 4.3912 3.7072 O
4.6867 0.6648 1.0352 O
2.9191 3.7264 1.0352 O
```